A crystal of RbScInRh2 relaxed with PBEsol, computed with SCAN.

Cell: 4.7576 4.7576 5.4134 Å, 90.00 90.00 90.00°
Sites, in units of the cell vectors:
Rb (0.0000, 0.0000, 0.0000)
Sc (0.5000, 0.5000, 0.5000)
In (0.0000, 0.0000, 0.5000)
Rh (0.0000, 0.5000, 0.0000)
Rh (0.5000, 0.0000, 0.0000)

Summary:
The size of the total moment is 0.00 Bohr magnetons per cell. Its energy is -25.497 eV/atom. The value obtained for the density of states at the Fermi level is 1.06 states/eV/atom.